[1]
A plane-wave DFT calculation with PBE-GGA was carried out for a relaxed structure of NaYRePd2.

Structure (POSCAR):
```
NaYRePd2
1.0
4.928 0.000 0.000
0.000 5.151 0.000
0.000 0.000 4.928
Pd Na Re Y
2 1 1 1
Cartesian
2.464 0.000 0.000
0.000 0.000 2.464
0.000 2.575 0.000
2.464 2.575 2.464
0.000 0.000 0.000
```

- Energy of formation from the pure elements: 1.607 eV/atom
- Symmetry: No. 123
- Crystal system: tetragonal
- Mass density: 6.78 g/cm3

=====

[2]
A plane-wave DFT calculation with PBE-GGA was carried out for a relaxed structure of TbHo4Tm6.

Structure (POSCAR):
```
TbHo4Tm6
1.0
7.543 0.000 0.000
0.000 7.543 0.000
-3.772 -3.772 6.448
Tm Ho Tb
6 4 1
Cartesian
0.000 3.772 0.000
3.772 0.000 0.000
-1.844 -1.844 4.078
5.616 1.927 2.370
1.927 5.616 2.370
1.844 1.844 4.078
2.509 -2.509 5.459
6.281 6.281 0.989
1.263 1.263 0.989
-2.509 2.509 5.459
3.772 3.772 0.000
```

- Offset from the most stable computed form: 343.7 meV per atom
- Energy of formation from the pure elements: 0.471 eV/atom
- Symmetry: No. 121
- Crystal system: tetragonal
- Mass density: 8.29 g/cm3

=====

[3]
A plane-wave DFT calculation with PBE-GGA was carried out for a relaxed structure of SrBeRu2.

Structure (POSCAR):
```
SrBeRu2
1.0
5.073 -0.001 -0.003
-2.449 4.804 -0.001
0.175 0.840 2.712
Be Ru Sr
1 2 1
Cartesian
1.312 2.402 -0.002
0.000 0.000 0.000
2.624 0.420 1.355
-1.137 2.822 1.356
```

- Energy of formation from the pure elements: 0.824 eV/atom
- Symmetry: No. 12
- Crystal system: monoclinic
- Mass density: 7.50 g/cm3

=====

[4]
A plane-wave DFT calculation with PBE-GGA was carried out for a relaxed structure of Tb2Ho5Sc.

Structure (POSCAR):
```
Tb2Ho5Sc
1.0
-1.910 -5.006 4.729
6.689 0.176 -2.512
-0.911 5.792 3.063
Ho Tb Sc
5 2 1
Cartesian
3.614 -0.649 2.959
0.050 4.229 3.988
4.329 -1.481 -0.335
1.224 1.766 1.851
-0.905 1.744 6.337
4.570 1.834 0.548
0.296 -0.701 4.239
2.447 1.818 5.090
```

- Offset from the most stable computed form: 0.0 meV per atom
- Energy of formation from the pure elements: 0.017 eV/atom
- Symmetry: No. 42
- Crystal system: orthorhombic
- Mass density: 8.01 g/cm3